Density functional theory data (meta-GGA SCAN) for a PBEsol-optimized structure of CrIrSe.

a = 2.860 Å, b = 2.860 Å, c = 5.490 Å
α = 105.10°, β = 105.10°, γ = 90.00°
Last column: magnetic moment on the atom in μB.
Positions (direct):
Cr (0.998, 0.998, 0.997)  1.26
Se (0.350, 0.350, 0.701)  -0.07
Ir (0.651, 0.651, 0.303)  -0.07

Properties
Total magnetic moment (μB per cell): 1.15
Calculated total energy (eV for the cell shown): -108.90
Energy relative to the elements, uncorrected (eV/atom): 0.222
DOS at the Fermi energy (states/eV/cell): 3.07



Density functional theory data (meta-GGA SCAN) for a PBEsol-optimized structure of BeZnFe2.

a = 3.896 Å, b = 3.896 Å, c = 3.896 Å
α = 60.00°, β = 60.00°, γ = 60.00°
Last column: magnetic moment on the atom in μB.
Positions (direct):
Be (0.000, 0.000, 0.000)  -0.09
Zn (0.500, 0.500, 0.500)  -0.07
Fe (0.250, 0.250, 0.250)  2.59
Fe (0.750, 0.750, 0.750)  2.59

Properties
Total magnetic moment (μB per cell): 4.94
Calculated total energy (eV for the cell shown): -53.83
DOS at the Fermi energy (states/eV/cell): 2.07
DFT formation energy (kJ/mol of formula units): 28



Density functional theory data (meta-GGA SCAN) for a PBEsol-optimized structure of Sm6Co2Si3.

a = 4.326 Å, b = 11.391 Å, c = 11.476 Å
α = 119.07°, β = 90.00°, γ = 90.00°
Last column: magnetic moment on the atom in μB.
Positions (direct):
Sm (0.500, 0.867, 0.381)  0.13
Sm (0.000, 0.227, 0.994)  -0.01
Sm (0.000, 0.487, 0.864)  0.08
Sm (0.500, 0.247, 0.229)  0.03
Sm (0.500, 0.770, 0.021)  0.02
Sm (0.000, 0.138, 0.624)  0.10
Sm (0.500, 0.613, 0.475)  0.13
Sm (0.000, 0.379, 0.511)  0.11
Sm (0.500, 0.986, 0.767)  -0.04
Sm (0.500, 0.522, 0.136)  0.10
Sm (0.000, 0.764, 0.782)  -0.02
Sm (0.000, 0.008, 0.235)  -0.04
Si (0.500, 0.562, 0.714)  -0.01
Si (0.500, 0.280, 0.843)  -0.01
Si (0.500, 0.334, 0.666)  0.01
Si (0.000, 0.665, 0.326)  0.02
Si (0.000, 0.843, 0.563)  -0.02
Si (0.500, 0.155, 0.440)  -0.01
Co (0.000, 0.710, 0.147)  -0.67
Co (0.251, 0.002, 0.005)  1.22
Co (0.000, 0.439, 0.272)  -0.79
Co (0.749, 0.002, 0.005)  1.22

Properties
Total magnetic moment (μB per cell): 2.40
Calculated total energy (eV for the cell shown): -672.45
Energy relative to the elements, uncorrected (eV/atom): -0.447
DOS at the Fermi energy (states/eV/cell): 14.86



Density functional theory data (meta-GGA SCAN) for a PBEsol-optimized structure of ZrSi3Au.

a = 4.976 Å, b = 4.976 Å, c = 4.976 Å
α = 90.00°, β = 90.00°, γ = 90.00°
Positions (direct):
Au (0.500, 0.500, 0.500)
Si (0.000, 0.000, 0.500)
Si (0.000, 0.500, 0.000)
Si (0.500, 0.000, 0.000)
Zr (0.000, 0.000, 0.000)

Properties
Total magnetic moment (μB per cell): 0.00
Calculated total energy (eV for the cell shown): -123.97
Energy relative to the elements, uncorrected (eV/atom): 1.187
DOS at the Fermi energy (states/eV/cell): 3.34



Density functional theory data (meta-GGA SCAN) for a PBEsol-optimized structure of PbW2Br.

a = 3.043 Å, b = 3.043 Å, c = 9.215 Å
α = 80.50°, β = 80.50°, γ = 60.00°
Positions (direct):
W (0.754, 0.754, 0.738)
W (0.246, 0.246, 0.262)
Pb (0.000, 0.000, 0.000)
Br (0.500, 0.500, 0.500)

Properties
Total magnetic moment (μB per cell): 0.00
Calculated total energy (eV for the cell shown): -229.19
Energy relative to the elements, uncorrected (eV/atom): 1.357
DOS at the Fermi energy (states/eV/cell): 3.53



Density functional theory data (meta-GGA SCAN) for a PBEsol-optimized structure of TeIr.

a = 3.020 Å, b = 3.020 Å, c = 4.694 Å
α = 90.00°, β = 90.00°, γ = 119.73°
Positions (direct):
Ir (0.000, 0.000, 0.000)
Te (0.500, 0.500, 0.500)

Properties
Total magnetic moment (μB per cell): 0.00
Calculated total energy (eV for the cell shown): -106.67
Energy relative to the elements, uncorrected (eV/atom): 0.840
DOS at the Fermi energy (states/eV/cell): 1.41



Look up the total magnetic moment of the second one. 4.94 μB per cell



What is the DOS at the Fermi energy in the second record? 2.07 states/eV/cell



Which formula does entry 2 have? BeZnFe2



What did the fourth record say?
Density functional theory data (meta-GGA SCAN) for a PBEsol-optimized structure of ZrSi3Au.

a = 4.976 Å, b = 4.976 Å, c = 4.976 Å
α = 90.00°, β = 90.00°, γ = 90.00°
Positions (direct):
Au (0.500, 0.500, 0.500)
Si (0.000, 0.000, 0.500)
Si (0.000, 0.500, 0.000)
Si (0.500, 0.000, 0.000)
Zr (0.000, 0.000, 0.000)

Properties
Total magnetic moment (μB per cell): 0.00
Calculated total energy (eV for the cell shown): -123.97
Energy relative to the elements, uncorrected (eV/atom): 1.187
DOS at the Fermi energy (states/eV/cell): 3.34